Model 1:
First-principles (PBE) data for HfCr3Co after structural relaxation, as listed in the Alexandria database.

Spin magnetization ... 3.65 μB/f.u.

Unit cell a=4.2705 b=4.2705 c=4.2705 alpha=90.00 beta=90.00 gamma=90.00
With the nearest neighbours (Å) after each atom.
Space group Pm-3m (No. 221)
One atom of each set of equivalent atoms:
Hf  0.0000  0.0000  0.0000 x1  12 Cr 3.02
Cr  0.0000  0.5000  0.5000 x3  2 Co 2.14
Co  0.5000  0.5000  0.5000 x1  6 Cr 2.14

---

Model 2:
First-principles (PBE) data for HfCr3Co after structural relaxation, as listed in the Alexandria database.

Spin magnetization ... 0.00 μB/f.u.

Unit cell a=4.4259 b=4.4259 c=4.4259 alpha=90.00 beta=90.00 gamma=90.00
With the nearest neighbours (Å) after each atom.
Space group Pm-3m (No. 221)
One atom of each set of equivalent atoms:
Hf  0.0000  0.0000  0.0000 x1  6 Cr 2.21
Cr  0.0000  0.0000  0.5000 x3  2 Hf 2.21
Co  0.5000  0.5000  0.5000 x1  12 Cr 3.13

---

What should be chosen as the least stable of them? Choose model 2.

---

Model 1:
First-principles (PBE) data for HfCr2Co after structural relaxation, as listed in the Alexandria database.

Spin magnetization ... 0.00 μB/f.u.

Unit cell a=3.4669 b=3.4669 c=19.2316 alpha=90.00 beta=90.00 gamma=90.00
With the nearest neighbours (Å) after each atom.
Space group I-42d (No. 122)
One atom of each set of equivalent atoms:
Hf  0.0000  0.0000  0.0000 x4  4 Co 2.45, 4 Cr 2.74
Cr  0.2156  0.2500  0.6250 x8  2 Cr 2.29
Co  0.0000  0.0000  0.5000 x4  4 Hf 2.45, 4 Cr 2.66

---

Model 2:
First-principles (PBE) data for HfCr2Co after structural relaxation, as listed in the Alexandria database.

Spin magnetization ... 1.77 μB/f.u.

Unit cell a=6.0132 b=6.0132 c=6.0132 alpha=90.00 beta=90.00 gamma=90.00
With the nearest neighbours (Å) after each atom.
Space group Fm-3m (No. 225)
One atom of each set of equivalent atoms:
Hf  0.0000  0.0000  0.0000 x4  8 Cr 2.60
Cr  0.2500  0.2500  0.2500 x8  4 Hf 2.60, 4 Co 2.60
Co  0.0000  0.0000  0.5000 x4  8 Cr 2.60

---

What should be chosen as the least stable of them? Choose model 1.

---

Model 1:
First-principles (PBE) data for HfCrCo3 after structural relaxation, as listed in the Alexandria database.

Spin magnetization ... 2.28 μB/f.u.

Unit cell a=4.4387 b=4.4387 c=4.4387 alpha=90.00 beta=90.00 gamma=90.00
With the nearest neighbours (Å) after each atom.
Space group Pm-3m (No. 221)
One atom of each set of equivalent atoms:
Hf  0.0000  0.0000  0.0000 x1  6 Co 2.22
Cr  0.5000  0.5000  0.5000 x1  12 Co 3.14
Co  0.0000  0.0000  0.5000 x3  2 Hf 2.22

---

Model 2:
First-principles (PBE) data for HfCrCo3 after structural relaxation, as listed in the Alexandria database.

Spin magnetization ... 0.00 μB/f.u.

Unit cell a=4.1763 b=4.1763 c=4.1763 alpha=90.00 beta=90.00 gamma=90.00
With the nearest neighbours (Å) after each atom.
Space group Pm-3m (No. 221)
One atom of each set of equivalent atoms:
Hf  0.0000  0.0000  0.0000 x1  12 Co 2.95
Cr  0.5000  0.5000  0.5000 x1  6 Co 2.09
Co  0.0000  0.5000  0.5000 x3  2 Cr 2.09

---

What should be chosen as the least stable of them? Choose model 1.

---

Model 1:
First-principles (PBE) data for Cr2Co2Hg after structural relaxation, as listed in the Alexandria database.

Spin magnetization ... 0.00 μB/f.u.

Unit cell a=7.0947 b=7.0947 c=2.6109 alpha=90.00 beta=90.00 gamma=90.00
With the nearest neighbours (Å) after each atom.
Space group P4/mbm (No. 127)
One atom of each set of equivalent atoms:
Cr  0.1117  0.3883  0.0000 x4  1 Cr 2.24, 4 Co 2.42
Co  0.1703  0.6703  0.5000 x4  6 Cr 2.42-2.55, 2 Co 2.61
Hg  0.0000  0.0000  0.0000 x2  2 Hg 2.61, 4 Cr 2.87

---

Model 2:
First-principles (PBE) data for Cr2Co2Hg after structural relaxation, as listed in the Alexandria database.

Spin magnetization ... 0.02 μB/f.u.

Unit cell a=7.0342 b=7.0342 c=2.6106 alpha=90.00 beta=90.00 gamma=90.00
With the nearest neighbours (Å) after each atom.
Space group P4/mbm (No. 127)
One atom of each set of equivalent atoms:
Cr  0.1646  0.3354  0.0000 x4  6 Co 2.43-2.48, 2 Cr 2.61
Co  0.1236  0.6236  0.5000 x4  6 Cr 2.43-2.48, 3 Co 2.46-2.61
Hg  0.0000  0.0000  0.5000 x2  2 Hg 2.61, 4 Co 2.79

---

What should be chosen as the least stable of them? Choose model 1.

---

Model 1:
First-principles (PBE) data for CrCoI2 after structural relaxation, as listed in the Alexandria database.

Spin magnetization ... 2.78 μB/f.u.

Unit cell a=7.1267 b=7.1267 c=7.1267 alpha=90.00 beta=90.00 gamma=90.00
With the nearest neighbours (Å) after each atom.
Space group Fm-3m (No. 225)
One atom of each set of equivalent atoms:
Cr  0.0000  0.0000  0.0000 x4  8 I 3.09
Co  0.0000  0.0000  0.5000 x4  8 I 3.09
I  0.2500  0.2500  0.2500 x8  4 Cr 3.09, 4 Co 3.09

---

Model 2:
First-principles (PBE) data for CrCoI2 after structural relaxation, as listed in the Alexandria database.

Spin magnetization ... 4.73 μB/f.u.

Unit cell a=6.1297 b=6.1297 c=11.9132 alpha=90.00 beta=90.00 gamma=90.00
With the nearest neighbours (Å) after each atom.
Space group I-42d (No. 122)
One atom of each set of equivalent atoms:
Cr  0.0000  0.0000  0.0000 x4  4 I 2.76
Co  0.0000  0.0000  0.5000 x4  4 I 2.51
I  0.2149  0.2500  0.6250 x8  2 Co 2.51, 2 Cr 2.76

---

What should be chosen as the least stable of them? Choose model 1.

---

Model 1:
First-principles (PBE) data for CrCoI2N after structural relaxation, as listed in the Alexandria database.

Spin magnetization ... 0.12 μB/f.u.

Unit cell a=5.3220 b=5.3220 c=3.4418 alpha=90.00 beta=90.00 gamma=90.00
With the nearest neighbours (Å) after each atom.
Space group P4/mmm (No. 123)
One atom of each set of equivalent atoms:
Cr  0.0000  0.0000  0.0000 x1  8 I 3.17, 2 Cr 3.44
Co  0.5000  0.5000  0.5000 x1  2 N 1.72
I  0.0000  0.5000  0.5000 x2  2 Co 2.66
N  0.5000  0.5000  0.0000 x1  2 Co 1.72

---

Model 2:
First-principles (PBE) data for CrCoI2N after structural relaxation, as listed in the Alexandria database.

Spin magnetization ... 4.29 μB/f.u.

Unit cell a=5.5327 b=5.5327 c=3.6047 alpha=90.00 beta=90.00 gamma=90.00
With the nearest neighbours (Å) after each atom.
Space group P4/mmm (No. 123)
One atom of each set of equivalent atoms:
Cr  0.0000  0.0000  0.0000 x1  2 N 1.80
Co  0.5000  0.5000  0.5000 x1  8 I 3.30, 2 Co 3.60
I  0.0000  0.5000  0.0000 x2  2 Cr 2.77
N  0.0000  0.0000  0.5000 x1  2 Cr 1.80

---

What should be chosen as the least stable of them? Choose model 1.

---

Model 1:
First-principles (PBE) data for CrIn2Co after structural relaxation, as listed in the Alexandria database.

Spin magnetization ... 3.37 μB/f.u.

Unit cell a=6.4258 b=6.4258 c=6.4258 alpha=90.00 beta=90.00 gamma=90.00
With the nearest neighbours (Å) after each atom.
Space group Fm-3m (No. 225)
One atom of each set of equivalent atoms:
Cr  0.0000  0.0000  0.0000 x4  8 In 2.78
In  0.2500  0.2500  0.2500 x8  4 Co 2.78, 4 Cr 2.78
Co  0.0000  0.0000  0.5000 x4  8 In 2.78

---

Model 2:
First-principles (PBE) data for CrIn2Co after structural relaxation, as listed in the Alexandria database.

Spin magnetization ... 4.06 μB/f.u.

Unit cell a=3.1689 b=4.5004 c=9.6014 alpha=90.00 beta=90.00 gamma=90.00
With the nearest neighbours (Å) after each atom.
Space group Imm2 (No. 44)
One atom of each set of equivalent atoms:
Cr  0.0000  0.0000  0.0000 x2  2 Co 2.50
In  0.0000  0.0000  0.5572 x2  4 Cr 2.81, 2 Co 2.81, 2 In 3.06
In  0.0000  0.5000  0.7737 x2  4 Co 2.76, 2 In 3.06, 2 Cr 3.07
Co  0.0000  0.5000  0.2992 x2  2 Cr 2.50, 4 In 2.76

---

What should be chosen as the least stable of them? Choose model 2.

---

Model 1:
First-principles (PBE) data for CrIn2Co after structural relaxation, as listed in the Alexandria database.

Spin magnetization ... 4.29 μB/f.u.

Unit cell a=3.1273 b=3.1273 c=6.9782 alpha=90.00 beta=90.00 gamma=90.00
With the nearest neighbours (Å) after each atom.
Space group P4/mmm (No. 123)
One atom of each set of equivalent atoms:
Cr  0.0000  0.0000  0.0000 x1  8 In 2.92, 4 Cr 3.13
In  0.5000  0.5000  0.2737 x2  4 Co 2.72, 4 Cr 2.92
Co  0.0000  0.0000  0.5000 x1  8 In 2.72

---

Model 2:
First-principles (PBE) data for CrIn2Co after structural relaxation, as listed in the Alexandria database.

Spin magnetization ... 4.42 μB/f.u.

Unit cell a=3.1324 b=3.1324 c=25.5485 alpha=90.00 beta=90.00 gamma=120.00
With the nearest neighbours (Å) after each atom.
Space group R-3m (No. 166, hexagonal axes)
One atom of each set of equivalent atoms:
Cr  0.0000  0.0000  0.0000 x3  6 In 2.91, 6 Cr 3.13
In  0.0000  0.0000  0.2440 x6  3 Co 2.68, 3 Cr 2.91
Co  0.0000  0.0000  0.5000 x3  6 In 2.68

---

What should be chosen as the least stable of them? Choose model 2.

---

Model 1:
First-principles (PBE) data for CrIn2Co after structural relaxation, as listed in the Alexandria database.

Spin magnetization ... 4.86 μB/f.u.

Unit cell a=3.9851 b=3.9851 c=8.7186 alpha=90.00 beta=90.00 gamma=90.00
With the nearest neighbours (Å) after each atom.
Space group I-4m2 (No. 119)
One atom of each set of equivalent atoms:
Cr  0.0000  0.0000  0.0000 x2  8 In 2.82-2.95, 4 Co 2.95
In  0.0000  0.0000  0.5000 x2  4 Cr 2.82, 4 In 2.95, 4 Co 2.95
In  0.0000  0.5000  0.7500 x2  4 Co 2.82, 4 Cr 2.95, 4 In 2.95
Co  0.0000  0.5000  0.2500 x2  8 In 2.82-2.95, 4 Cr 2.95

---

Model 2:
First-principles (PBE) data for CrIn2Co after structural relaxation, as listed in the Alexandria database.

Spin magnetization ... 4.07 μB/f.u.

Unit cell a=6.4954 b=6.4954 c=6.4954 alpha=90.00 beta=90.00 gamma=90.00
With the nearest neighbours (Å) after each atom.
Space group F-43m (No. 216)
One atom of each set of equivalent atoms:
Cr  0.0000  0.0000  0.0000 x4  4 In 2.81, 4 Co 2.81
In  0.0000  0.0000  0.5000 x4  4 Co 2.81, 4 In 2.81
In  0.2500  0.2500  0.2500 x4  4 Cr 2.81, 4 In 2.81
Co  0.2500  0.2500  0.7500 x4  4 Cr 2.81, 4 In 2.81

---

What should be chosen as the least stable of them? Choose model 2.

---

Model 1:
First-principles (PBE) data for CrIn2Co after structural relaxation, as listed in the Alexandria database.

Spin magnetization ... 3.79 μB/f.u.

Unit cell a=3.1580 b=4.5326 c=4.6906 alpha=90.00 beta=90.00 gamma=90.00
With the nearest neighbours (Å) after each atom.
Space group Pmm2 (No. 25)
One atom of each set of equivalent atoms:
Cr  0.0000  0.0000  0.0000 x1  8 In 2.76-2.89, 2 Co 2.88
In  0.5000  0.0000  0.4838 x1  4 Cr 2.76-2.89, 4 Co 2.81, 2 In 3.01
In  0.5000  0.5000  0.9069 x1  4 Co 2.71-2.94, 4 Cr 2.80, 2 In 3.01
Co  0.0000  0.5000  0.3775 x1  8 In 2.71-2.94, 2 Cr 2.88

---

Model 2:
First-principles (PBE) data for CrIn2Co after structural relaxation, as listed in the Alexandria database.

Spin magnetization ... 3.09 μB/f.u.

Unit cell a=3.0196 b=3.0196 c=7.7117 alpha=90.00 beta=90.00 gamma=90.00
With the nearest neighbours (Å) after each atom.
Space group P4mm (No. 99)
One atom of each set of equivalent atoms:
Cr  0.0000  0.0000  0.0000 x1  4 Co 2.45
In  0.0000  0.0000  0.6126 x1  4 Co 2.78, 1 Cr 2.99, 4 In 3.02
In  0.5000  0.5000  0.2530 x1  4 Cr 2.89, 4 In 3.02, 1 Co 3.16
Co  0.5000  0.5000  0.8438 x1  4 Cr 2.45

---

Model 3:
First-principles (PBE) data for CrIn2Co after structural relaxation, as listed in the Alexandria database.

Spin magnetization ... 0.82 μB/f.u.

Unit cell a=7.1665 b=7.1665 c=5.6066 alpha=90.00 beta=90.00 gamma=90.00
With the nearest neighbours (Å) after each atom.
Space group I-42d (No. 122)
One atom of each set of equivalent atoms:
Cr  0.0000  0.0000  0.0000 x4  4 In 2.72, 2 Co 2.80
In  0.2321  0.2500  0.6250 x8  2 Co 2.54, 2 Cr 2.72, 2 In 2.82
Co  0.0000  0.0000  0.5000 x4  4 In 2.54, 2 Cr 2.80

---

What should be chosen as the least stable of them? Choose model 3.

---

Model 1:
First-principles (PBE) data for Cr2In2Co after structural relaxation, as listed in the Alexandria database.

Spin magnetization ... 2.60 μB/f.u.

Unit cell a=7.5980 b=7.5980 c=2.9571 alpha=90.00 beta=90.00 gamma=90.00
With the nearest neighbours (Å) after each atom.
Space group P4/mbm (No. 127)
One atom of each set of equivalent atoms:
Cr  0.0939  0.4061  0.0000 x4  1 Cr 2.02
In  0.1958  0.6958  0.5000 x4  6 Cr 2.70-2.76, 2 Co 2.75, 2 In 2.96
Co  0.0000  0.0000  0.5000 x2  4 In 2.75, 2 Co 2.96

---

Model 2:
First-principles (PBE) data for Cr2In2Co after structural relaxation, as listed in the Alexandria database.

Spin magnetization ... 0.20 μB/f.u.

Unit cell a=3.1987 b=3.1987 c=15.9134 alpha=90.00 beta=90.00 gamma=90.00
With the nearest neighbours (Å) after each atom.
Space group I4/mmm (No. 139)
One atom of each set of equivalent atoms:
Cr  0.0000  0.5000  0.2500 x4  4 Cr 2.26
In  0.0000  0.0000  0.0991 x4  4 Co 2.76, 4 Cr 2.89
Co  0.0000  0.0000  0.5000 x2  8 In 2.76

---

What should be chosen as the least stable of them? Choose model 1.

---

Model 1:
First-principles (PBE) data for CrInCo2Ru after structural relaxation, as listed in the Alexandria database.

Spin magnetization ... 0.36 μB/f.u.

Unit cell a=4.2351 b=4.2351 c=4.4508 alpha=90.00 beta=90.00 gamma=90.00
With the nearest neighbours (Å) after each atom.
Space group P4/mmm (No. 123)
One atom of each set of equivalent atoms:
Cr  0.0000  0.0000  0.0000 x1  4 Co 2.12, 2 Ru 2.23
In  0.5000  0.5000  0.5000 x1  4 Ru 2.99, 8 Co 3.07
Co  0.0000  0.5000  0.0000 x2  2 Cr 2.12
Ru  0.0000  0.0000  0.5000 x1  2 Cr 2.23

---

Model 2:
First-principles (PBE) data for CrInCo2Ru after structural relaxation, as listed in the Alexandria database.

Spin magnetization ... 5.95 μB/f.u.

Unit cell a=4.5654 b=4.5654 c=4.4815 alpha=90.00 beta=90.00 gamma=90.00
With the nearest neighbours (Å) after each atom.
Space group P4/mmm (No. 123)
One atom of each set of equivalent atoms:
Cr  0.0000  0.0000  0.0000 x1  2 Ru 2.24
In  0.5000  0.5000  0.0000 x1  8 Co 3.20, 4 Cr 3.23
Co  0.0000  0.5000  0.5000 x2  2 Ru 2.28
Ru  0.0000  0.0000  0.5000 x1  2 Cr 2.24, 4 Co 2.28

---

What should be chosen as the least stable of them? Choose model 2.